[1]
{
  "formula": "LuTlZn",
  "functional": "PBE-GGA",
  "state": "optimized geometry",
  "lattice": [[-1.284, 2.666, -1.840], [-3.211, -0.783, 1.106], [2.955, 2.500, 4.860]],
  "species": ["Tl", "Lu", "Zn"],
  "frac_coords": [[0.630, 0.630, 0.260], [0.936, 0.936, 0.873], [0.284, 0.284, 0.568]],
  "energy_ev_per_atom": -2.843,
  "sg": "No. 107"
}


[2]
{
  "formula": "CsB2PbBr8",
  "functional": "PBE-GGA",
  "state": "optimized geometry",
  "lattice": [[6.756, 0.000, 0.000], [3.378, 5.851, 0.000], [3.378, 1.950, 10.832]],
  "species": ["Cs", "B", "B", "Pb", "Br", "Br", "Br", "Br", "Br", "Br", "Br", "Br"],
  "frac_coords": [[0.500, 0.500, 0.500], [0.247, 0.247, 0.260], [0.753, 0.753, 0.740], [0.000, 0.000, 0.000], [0.184, 0.184, 0.447], [0.534, 0.302, 0.198], [0.816, 0.816, 0.553], [0.966, 0.534, 0.198], [0.034, 0.466, 0.802], [0.302, 0.966, 0.198], [0.698, 0.034, 0.802], [0.466, 0.698, 0.802]],
  "energy_ev_per_atom": -3.238,
  "sg": "No. 148",
  "formation_energy_uncorrected_kcal_per_mol_atoms": -14.52
}


[3]
{
  "formula": "Pm3Nd2ThTe6",
  "functional": "PBE-GGA",
  "state": "optimized geometry",
  "lattice": [[-1.937, 3.999, 0.472], [-4.854, -1.478, -7.408], [-4.702, -5.579, 6.818]],
  "species": ["Pm", "Pm", "Pm", "Nd", "Nd", "Th", "Te", "Te", "Te", "Te", "Te", "Te"],
  "frac_coords": [[0.500, 0.500, 0.000], [0.833, 0.165, 0.667], [0.167, 0.835, 0.333], [0.835, 0.669, 0.670], [0.165, 0.331, 0.330], [0.500, 0.000, 0.000], [0.333, 0.918, 0.665], [0.667, 0.585, 0.334], [0.667, 0.082, 0.335], [0.999, 0.252, 0.997], [0.001, 0.748, 0.003], [0.333, 0.415, 0.666]],
  "energy_ev_per_atom": -5.511,
  "sg": "No. 12",
  "formation_energy_uncorrected_kcal_per_mol_atoms": -30.89
}


[4]
{
  "formula": "LiFe2SnC",
  "functional": "PBE-GGA",
  "state": "optimized geometry",
  "lattice": [[3.795, 0.000, 0.000], [0.000, 3.795, 0.000], [0.000, 0.000, 3.993]],
  "species": ["C", "Li", "Sn", "Fe", "Fe"],
  "frac_coords": [[0.000, 0.000, 0.000], [0.000, 0.000, 0.500], [0.500, 0.500, 0.500], [0.000, 0.500, 0.000], [0.500, 0.000, 0.000]],
  "energy_ev_per_atom": -6.401,
  "sg": "No. 123"
}


[5]
{
  "formula": "Tl2FeMo",
  "functional": "PBE-GGA",
  "state": "optimized geometry",
  "lattice": [[4.270, 0.000, 0.000], [0.000, 4.279, 0.000], [0.000, 0.000, 4.129]],
  "species": ["Fe", "Mo", "Tl", "Tl"],
  "frac_coords": [[0.500, 0.000, 0.500], [0.000, 0.500, 0.500], [0.000, 0.000, 0.000], [0.500, 0.500, 0.000]],
  "polymorph_energy_mev_per_atom": 328,
  "energy_ev_per_atom": -5.193,
  "sg": "No. 123"
}


[6]
{
  "formula": "AcErGa",
  "functional": "PBE-GGA",
  "state": "optimized geometry",
  "lattice": [[4.479, 0.000, 0.000], [0.000, 4.942, 0.000], [0.000, -2.471, 4.280]],
  "species": ["Ac", "Ga", "Er"],
  "frac_coords": [[0.000, 0.000, 0.000], [0.501, 0.333, 0.667], [0.499, 0.667, 0.333]],
  "polymorph_energy_mev_per_atom": 128,
  "energy_ev_per_atom": -4.144,
  "sg": "No. 156"
}


[7]
{
  "formula": "Li2TiTl2O6",
  "functional": "PBE-GGA",
  "state": "optimized geometry",
  "lattice": [[5.689, -0.073, 0.251], [-2.876, 4.910, 0.251], [-0.830, -1.426, 5.040]],
  "species": ["Li", "Li", "Ti", "Tl", "Tl", "O", "O", "O", "O", "O", "O"],
  "frac_coords": [[0.868, 0.132, 0.000], [0.132, 0.868, 0.000], [0.000, 0.000, 0.500], [0.336, 0.664, 0.500], [0.664, 0.336, 0.500], [0.772, 0.772, 0.729], [0.042, 0.342, 0.718], [0.228, 0.228, 0.271], [0.342, 0.042, 0.718], [0.958, 0.658, 0.282], [0.658, 0.958, 0.282]],
  "energy_ev_per_atom": -5.761,
  "sg": "No. 12",
  "formation_energy_uncorrected_kcal_per_mol_atoms": -35.99
}


[8]
{
  "formula": "K2NaMnBr6",
  "functional": "PBE-GGA",
  "state": "optimized geometry",
  "lattice": [[7.398, 0.000, 0.004], [0.000, 8.062, 0.000], [0.068, 0.000, 10.673]],
  "species": ["K", "K", "K", "K", "Na", "Na", "Mn", "Mn", "Br", "Br", "Br", "Br", "Br", "Br", "Br", "Br", "Br", "Br", "Br", "Br"],
  "frac_coords": [[0.030, 0.917, 0.242], [0.530, 0.583, 0.742], [0.970, 0.083, 0.758], [0.470, 0.417, 0.258], [0.500, 0.000, 0.000], [0.000, 0.500, 0.500], [0.500, 0.000, 0.500], [0.000, 0.500, 0.000], [0.277, 0.665, 0.041], [0.777, 0.835, 0.541], [0.723, 0.335, 0.959], [0.223, 0.165, 0.459], [0.308, 0.704, 0.456], [0.808, 0.796, 0.956], [0.692, 0.296, 0.544], [0.192, 0.204, 0.044], [0.914, 0.511, 0.225], [0.414, 0.989, 0.725], [0.086, 0.489, 0.775], [0.586, 0.011, 0.275]],
  "energy_ev_per_atom": -3.535,
  "sg": "No. 14",
  "formation_energy_uncorrected_kcal_per_mol_atoms": -29.12
}